Below is a relaxed structure of Ac4La8Sc, with properties calculated at the PBE-GGA level.

a = 12.3456 Å, b = 12.3456 Å, c = 11.9163 Å
α = 90.00°, β = 90.00°, γ = 120.00°
Closest atoms and distances in Å follow each position.
Space group R-3m (No. 166, hexagonal axes)
Symmetry-distinct sites (fractional):
1 Ac 0.0000 0.0000 0.0000 (multiplicity 3)  2 La 3.08
2 Ac 0.0000 0.5000 0.0000 (multiplicity 9)  8 La 3.59-4.01
3 La 0.0000 0.0000 0.2586 (multiplicity 6)  1 Sc 2.88, 1 Ac 3.08
4 La 0.0047 0.5023 0.6635 (multiplicity 18)  3 Ac 3.51-3.59, 4 La 3.51-3.90
5 Sc 0.0000 0.0000 0.5000 (multiplicity 3)  2 La 2.88

* formation energy: 392 meV/atom
* energy: -57.086 eV per formula unit